# VCo3Pt, relaxed, DFT GGA-PBE
data_VCo3Pt
_cell_length_a 4.387
_cell_length_b 4.387
_cell_length_c 16.948
_cell_angle_alpha 90.00
_cell_angle_beta 90.00
_cell_angle_gamma 90.00
_symmetry_space_group_name_H-M 'I -4 m 2'
_symmetry_Int_Tables_number 119
_symmetry_space_group_name_Hall 'I -4 -2'
loop_
_atom_site_label
_atom_site_type_symbol
_atom_site_fract_x
_atom_site_fract_y
_atom_site_fract_z
_atom_site_occupancy
V1 V 0.000 0.000 0.000 1
V2 V 0.000 0.500 0.250 1
Co1 Co 0.000 0.248 0.122 1
Co2 Co 0.000 0.500 0.593 1
Pt1 Pt 0.000 0.000 0.333 1
# offset from the most stable computed form	0.529	eV/atom
# E_form	597.3	meV per atom
# electronic total energy	-6.698	eV per atom

=====

# BaLa2Sm, relaxed, DFT GGA-PBE
data_BaLa2Sm
_cell_length_a 3.8148
_cell_length_b 3.8148
_cell_length_c 38.2731
_cell_angle_alpha 90.00
_cell_angle_beta 90.00
_cell_angle_gamma 120.00
_symmetry_space_group_name_H-M 'R -3 m'
_symmetry_Int_Tables_number 166
_symmetry_space_group_name_Hall '-R 3 2"'
loop_
_atom_site_label
_atom_site_type_symbol
_atom_site_fract_x
_atom_site_fract_y
_atom_site_fract_z
_atom_site_occupancy
Ba1 Ba 0.0000 0.0000 0.0000 1
La1 La 0.0000 0.0000 0.2426 1
Sm1 Sm 0.0000 0.0000 0.5000 1
# offset from the most stable computed form	0.012	eV/atom
# E_form	107.4	meV per atom
# electronic total energy	-4.017	eV per atom

=====

# NaReSiNi2, relaxed, DFT GGA-PBE
data_NaReSiNi2
_cell_length_a 4.633
_cell_length_b 4.633
_cell_length_c 4.655
_cell_angle_alpha 90.00
_cell_angle_beta 90.00
_cell_angle_gamma 90.00
_symmetry_space_group_name_H-M 'P 4/m m m'
_symmetry_Int_Tables_number 123
_symmetry_space_group_name_Hall '-P 4 2'
loop_
_atom_site_label
_atom_site_type_symbol
_atom_site_fract_x
_atom_site_fract_y
_atom_site_fract_z
_atom_site_occupancy
Na1 Na 0.000 0.000 0.000 1
Re1 Re 0.500 0.500 0.500 1
Si1 Si 0.500 0.500 0.000 1
Ni1 Ni 0.000 0.500 0.500 1
# formation energy (no corrections)	76	kJ per mole of atoms
# electronic total energy	-5.367	eV per atom

=====

# Ce2BiRh, relaxed, DFT GGA-PBE
data_Ce2BiRh
_cell_length_a 3.476
_cell_length_b 3.476
_cell_length_c 8.385
_cell_angle_alpha 90.00
_cell_angle_beta 90.00
_cell_angle_gamma 90.00
_symmetry_space_group_name_H-M 'P 4/m m m'
_symmetry_Int_Tables_number 123
_symmetry_space_group_name_Hall '-P 4 2'
loop_
_atom_site_label
_atom_site_type_symbol
_atom_site_fract_x
_atom_site_fract_y
_atom_site_fract_z
_atom_site_occupancy
Ce1 Ce 0.000 0.000 0.208 1
Bi1 Bi 0.500 0.500 0.500 1
Rh1 Rh 0.500 0.500 0.000 1
# offset from the most stable computed form	0.031	eV/atom
# E_form	-608.8	meV per atom
# electronic total energy	-6.384	eV per atom

=====

# TeMoRh2, relaxed, DFT GGA-PBE
data_TeMoRh2
_cell_length_a 9.042
_cell_length_b 3.024
_cell_length_c 4.920
_cell_angle_alpha 90.00
_cell_angle_beta 98.26
_cell_angle_gamma 90.00
_symmetry_space_group_name_H-M 'C 1 m 1'
_symmetry_Int_Tables_number 8
loop_
_symmetry_equiv_pos_as_xyz
'x,y,z'
'x,-y,z'
'x+1/2,y+1/2,z'
'x+1/2,-y+1/2,z'
loop_
_atom_site_label
_atom_site_type_symbol
_atom_site_fract_x
_atom_site_fract_y
_atom_site_fract_z
_atom_site_occupancy
Te1 Te 0.000 0.000 0.000 1
Mo1 Mo 0.235 0.000 0.681 1
Rh1 Rh 0.253 0.500 0.230 1
Rh2 Rh 0.499 0.000 0.494 1
# formation energy (no corrections)	11	kJ per mole of atoms
# electronic total energy	-7.059	eV per atom

=====

# Li2ZrIn4, relaxed, DFT GGA-PBE
data_Li2ZrIn4
_cell_length_a 6.739
_cell_length_b 6.739
_cell_length_c 7.111
_cell_angle_alpha 90.00
_cell_angle_beta 90.00
_cell_angle_gamma 90.00
_symmetry_space_group_name_H-M 'I 4/m m m'
_symmetry_Int_Tables_number 139
_symmetry_space_group_name_Hall '-I 4 2'
loop_
_atom_site_label
_atom_site_type_symbol
_atom_site_fract_x
_atom_site_fract_y
_atom_site_fract_z
_atom_site_occupancy
Li1 Li 0.000 0.500 0.000 1
Zr1 Zr 0.000 0.000 0.000 1
In1 In 0.250 0.250 0.250 1
# E_form	-254.6	meV per atom
# electronic total energy	-3.587	eV per atom

=====

| no. | N(E_F) (states/eV/f.u.) |
| --- | --- |
| 1 | 6.507 |
| 2 | 5.753 |
| 3 | 5.341 |
| 4 | 10.448 |
| 5 | 3.206 |
| 6 | 2.264 |